# PBE Co2SbP, relaxed
# * energy relative to the lowest polymorph listed for this composition: 78.1 kJ per mole of atoms
# * magnetization: 2.1 μB/cell
# * VASP energy: -5.346 eV per atom
# * Fermi-level density of states: 6.04 states/eV per cell
data_Co2SbP
_chemical_formula_sum 'Co2 Sb1 P1'
_symmetry_space_group_name_H-M 'P 1'
_symmetry_Int_Tables_number 1
_cell_length_a 4.3693
_cell_length_b 4.3693
_cell_length_c 4.3693
_cell_angle_alpha 60.00
_cell_angle_beta 60.00
_cell_angle_gamma 60.00
loop_
_symmetry_equiv_pos_as_xyz
'x,y,z'
loop_
_atom_site_label
_atom_site_type_symbol
_atom_site_fract_x
_atom_site_fract_y
_atom_site_fract_z
Co1 Co 0.0000 0.0000 0.0000
Co2 Co 0.2500 0.2500 0.2500
Sb1 Sb 0.5000 0.5000 0.5000
P1 P 0.7500 0.7500 0.7500

---

# PBE Mn2C, relaxed
# * formation energy from the elements: 0.19 eV per atom
# * magnetization: 4.7 μB/cell
# * VASP energy: -8.998 eV per atom
# * Fermi-level density of states: 2.25 states/eV per cell
data_Mn2C
_chemical_formula_sum 'Mn2 C1'
_symmetry_space_group_name_H-M 'P 1'
_symmetry_Int_Tables_number 1
_cell_length_a 2.8471
_cell_length_b 2.8471
_cell_length_c 3.8725
_cell_angle_alpha 90.00
_cell_angle_beta 90.00
_cell_angle_gamma 90.00
loop_
_symmetry_equiv_pos_as_xyz
'x,y,z'
loop_
_atom_site_label
_atom_site_type_symbol
_atom_site_fract_x
_atom_site_fract_y
_atom_site_fract_z
Mn1 Mn 0.0000 0.0000 0.0000
Mn2 Mn 0.5000 0.5000 0.5000
C1 C 0.0000 0.0000 0.5000

---

# PBE Nb3GeAu, relaxed
# * formation energy from the elements: 1.50 eV per atom
# * energy relative to the lowest polymorph listed for this composition: 66.0 kJ per mole of atoms
# * magnetization: 0.0 μB/cell
# * VASP energy: -6.122 eV per atom
# * Fermi-level density of states: 7.20 states/eV per cell
data_Nb3GeAu
_chemical_formula_sum 'Nb3 Ge1 Au1'
_symmetry_space_group_name_H-M 'P 1'
_symmetry_Int_Tables_number 1
_cell_length_a 4.9607
_cell_length_b 4.9607
_cell_length_c 4.9607
_cell_angle_alpha 90.00
_cell_angle_beta 90.00
_cell_angle_gamma 90.00
loop_
_symmetry_equiv_pos_as_xyz
'x,y,z'
loop_
_atom_site_label
_atom_site_type_symbol
_atom_site_fract_x
_atom_site_fract_y
_atom_site_fract_z
Nb1 Nb 0.0000 0.0000 0.5000
Nb2 Nb 0.0000 0.5000 0.0000
Nb3 Nb 0.5000 0.0000 0.0000
Ge1 Ge 0.5000 0.5000 0.5000
Au1 Au 0.0000 0.0000 0.0000

---

# PBE LiBe2Se, relaxed
# * magnetization: 0.0 μB/cell
# * VASP energy: -3.164 eV per atom
# * Fermi-level density of states: 0.54 states/eV per cell
data_LiBe2Se
_chemical_formula_sum 'Li1 Be2 Se1'
_symmetry_space_group_name_H-M 'P 1'
_symmetry_Int_Tables_number 1
_cell_length_a 5.8306
_cell_length_b 5.8306
_cell_length_c 3.7009
_cell_angle_alpha 108.49
_cell_angle_beta 108.49
_cell_angle_gamma 30.04
loop_
_symmetry_equiv_pos_as_xyz
'x,y,z'
loop_
_atom_site_label
_atom_site_type_symbol
_atom_site_fract_x
_atom_site_fract_y
_atom_site_fract_z
Li1 Li 0.0000 0.0000 0.0000
Be1 Be 0.2888 0.2888 0.2906
Be2 Be 0.7112 0.7112 0.7094
Se1 Se 0.5000 0.5000 0.5000

---

# PBE Tb3ThIn4, relaxed
# * formation energy from the elements: -0.41 eV per atom
# * magnetization: 0.0 μB/cell
# * VASP energy: -4.438 eV per atom
# * Fermi-level density of states: 9.03 states/eV per cell
data_Tb3ThIn4
_chemical_formula_sum 'Tb6 Th2 In8'
_symmetry_space_group_name_H-M 'P 1'
_symmetry_Int_Tables_number 1
_cell_length_a 10.8636
_cell_length_b 7.2117
_cell_length_c 5.5886
_cell_angle_alpha 90.00
_cell_angle_beta 90.00
_cell_angle_gamma 90.00
loop_
_symmetry_equiv_pos_as_xyz
'x,y,z'
loop_
_atom_site_label
_atom_site_type_symbol
_atom_site_fract_x
_atom_site_fract_y
_atom_site_fract_z
Tb1 Tb 0.0000 0.0000 0.0000
Tb2 Tb 0.2500 0.0000 0.4102
Tb3 Tb 0.2500 0.5000 0.4136
Tb4 Tb 0.5000 0.0000 0.0000
Tb5 Tb 0.7500 0.0000 0.5898
Tb6 Tb 0.7500 0.5000 0.5864
Th1 Th 0.0000 0.5000 0.0000
Th2 Th 0.5000 0.5000 0.0000
In1 In 0.0000 0.2400 0.5000
In2 In 0.0000 0.7600 0.5000
In3 In 0.2500 0.2414 0.9026
In4 In 0.2500 0.7586 0.9026
In5 In 0.5000 0.2400 0.5000
In6 In 0.5000 0.7600 0.5000
In7 In 0.7500 0.2414 0.0974
In8 In 0.7500 0.7586 0.0974

---

# PBE ReNiCl2, relaxed
# * energy relative to the lowest polymorph listed for this composition: 79.3 kJ per mole of atoms
# * magnetization: 0.0 μB/cell
# * VASP energy: -4.587 eV per atom
# * Fermi-level density of states: 9.28 states/eV per cell
data_ReNiCl2
_chemical_formula_sum 'Re2 Ni2 Cl4'
_symmetry_space_group_name_H-M 'P 1'
_symmetry_Int_Tables_number 1
_cell_length_a 6.3163
_cell_length_b 6.3163
_cell_length_c 6.3163
_cell_angle_alpha 130.19
_cell_angle_beta 130.19
_cell_angle_gamma 73.10
loop_
_symmetry_equiv_pos_as_xyz
'x,y,z'
loop_
_atom_site_label
_atom_site_type_symbol
_atom_site_fract_x
_atom_site_fract_y
_atom_site_fract_z
Re1 Re 0.0000 0.0000 0.0000
Re2 Re 0.7500 0.2500 0.5000
Ni1 Ni 0.2500 0.7500 0.5000
Ni2 Ni 0.5000 0.5000 0.0000
Cl1 Cl 0.1402 0.6250 0.0152
Cl2 Cl 0.3750 0.3902 0.5152
Cl3 Cl 0.6098 0.1250 0.9848
Cl4 Cl 0.8750 0.8598 0.4848

---

# PBE Ca2PmEu, relaxed
# * formation energy from the elements: 0.08 eV per atom
# * energy relative to the lowest polymorph listed for this composition: 0.0 kJ per mole of atoms
# * magnetization: 7.4 μB/cell
# * VASP energy: -4.682 eV per atom
# * Fermi-level density of states: 9.47 states/eV per cell
data_Ca2PmEu
_chemical_formula_sum 'Ca2 Pm1 Eu1'
_symmetry_space_group_name_H-M 'P 1'
_symmetry_Int_Tables_number 1
_cell_length_a 4.1819
_cell_length_b 4.1819
_cell_length_c 9.0369
_cell_angle_alpha 90.00
_cell_angle_beta 90.00
_cell_angle_gamma 90.00
loop_
_symmetry_equiv_pos_as_xyz
'x,y,z'
loop_
_atom_site_label
_atom_site_type_symbol
_atom_site_fract_x
_atom_site_fract_y
_atom_site_fract_z
Ca1 Ca 0.0000 0.0000 0.2369
Ca2 Ca 0.0000 0.0000 0.7631
Pm1 Pm 0.5000 0.5000 0.0000
Eu1 Eu 0.5000 0.5000 0.5000

---

# PBE NdEr2TmAs4, relaxed
# * formation energy from the elements: -1.50 eV per atom
# * magnetization: 0.0 μB/cell
# * VASP energy: -6.122 eV per atom
# * Fermi-level density of states: 0.91 states/eV per cell
data_NdEr2TmAs4
_chemical_formula_sum 'Nd1 Er2 Tm1 As4'
_symmetry_space_group_name_H-M 'P 1'
_symmetry_Int_Tables_number 1
_cell_length_a 7.1463
_cell_length_b 4.1297
_cell_length_c 7.1474
_cell_angle_alpha 90.00
_cell_angle_beta 109.48
_cell_angle_gamma 90.00
loop_
_symmetry_equiv_pos_as_xyz
'x,y,z'
loop_
_atom_site_label
_atom_site_type_symbol
_atom_site_fract_x
_atom_site_fract_y
_atom_site_fract_z
Nd1 Nd 0.0000 0.0000 0.0000
Er1 Er 0.0000 0.5000 0.5000
Er2 Er 0.5000 0.0000 0.5000
Tm1 Tm 0.5000 0.5000 0.0000
As1 As 0.2547 0.0000 0.7469
As2 As 0.2584 0.5000 0.2574
As3 As 0.7416 0.5000 0.7426
As4 As 0.7453 0.0000 0.2531

---

# PBE Sr3HfHg, relaxed
# * formation energy from the elements: 0.83 eV per atom
# * energy relative to the lowest polymorph listed for this composition: 21.6 kJ per mole of atoms
# * magnetization: 1.7 μB/cell
# * VASP energy: -2.230 eV per atom
# * Fermi-level density of states: 9.62 states/eV per cell
data_Sr3HfHg
_chemical_formula_sum 'Sr3 Hf1 Hg1'
_symmetry_space_group_name_H-M 'P 1'
_symmetry_Int_Tables_number 1
_cell_length_a 6.1905
_cell_length_b 6.1905
_cell_length_c 6.1905
_cell_angle_alpha 90.00
_cell_angle_beta 90.00
_cell_angle_gamma 90.00
loop_
_symmetry_equiv_pos_as_xyz
'x,y,z'
loop_
_atom_site_label
_atom_site_type_symbol
_atom_site_fract_x
_atom_site_fract_y
_atom_site_fract_z
Sr1 Sr 0.0000 0.0000 0.5000
Sr2 Sr 0.0000 0.5000 0.0000
Sr3 Sr 0.5000 0.0000 0.0000
Hf1 Hf 0.0000 0.0000 0.0000
Hg1 Hg 0.5000 0.5000 0.5000

---

# PBE AlTeIr, relaxed
# * energy relative to the lowest polymorph listed for this composition: 30.9 kJ per mole of atoms
# * magnetization: 0.0 μB/cell
# * VASP energy: -5.255 eV per atom
# * Fermi-level density of states: 2.46 states/eV per cell
data_AlTeIr
_chemical_formula_sum 'Al1 Te1 Ir1'
_symmetry_space_group_name_H-M 'P 1'
_symmetry_Int_Tables_number 1
_cell_length_a 3.7875
_cell_length_b 3.7875
_cell_length_c 5.1951
_cell_angle_alpha 90.00
_cell_angle_beta 90.00
_cell_angle_gamma 120.00
loop_
_symmetry_equiv_pos_as_xyz
'x,y,z'
loop_
_atom_site_label
_atom_site_type_symbol
_atom_site_fract_x
_atom_site_fract_y
_atom_site_fract_z
Al1 Al 0.0000 0.0000 0.0000
Te1 Te 0.6667 0.3333 0.5330
Ir1 Ir 0.3333 0.6667 0.2407

---

# PBE Nb2InGeI, relaxed
# * magnetization: 1.4 μB/cell
# * VASP energy: -4.631 eV per atom
# * Fermi-level density of states: 7.88 states/eV per cell
data_Nb2InGeI
_chemical_formula_sum 'Nb2 In1 Ge1 I1'
_symmetry_space_group_name_H-M 'P 1'
_symmetry_Int_Tables_number 1
_cell_length_a 4.9792
_cell_length_b 4.9792
_cell_length_c 5.4622
_cell_angle_alpha 90.00
_cell_angle_beta 90.00
_cell_angle_gamma 90.00
loop_
_symmetry_equiv_pos_as_xyz
'x,y,z'
loop_
_atom_site_label
_atom_site_type_symbol
_atom_site_fract_x
_atom_site_fract_y
_atom_site_fract_z
Nb1 Nb 0.0000 0.5000 0.0000
Nb2 Nb 0.5000 0.0000 0.0000
In1 In 0.0000 0.0000 0.5000
Ge1 Ge 0.5000 0.5000 0.0000
I1 I 0.5000 0.5000 0.5000

---

# PBE AgRh2, relaxed
# * formation energy from the elements: 0.66 eV per atom
# * energy relative to the lowest polymorph listed for this composition: 48.1 kJ per mole of atoms
# * magnetization: 0.3 μB/cell
# * VASP energy: -5.193 eV per atom
# * Fermi-level density of states: 11.51 states/eV per cell
data_AgRh2
_chemical_formula_sum 'Ag2 Rh4'
_symmetry_space_group_name_H-M 'P 1'
_symmetry_Int_Tables_number 1
_cell_length_a 8.8869
_cell_length_b 8.8869
_cell_length_c 8.8869
_cell_angle_alpha 157.39
_cell_angle_beta 157.39
_cell_angle_gamma 32.18
loop_
_symmetry_equiv_pos_as_xyz
'x,y,z'
loop_
_atom_site_label
_atom_site_type_symbol
_atom_site_fract_x
_atom_site_fract_y
_atom_site_fract_z
Ag1 Ag 0.3750 0.6250 0.7500
Ag2 Ag 0.6250 0.3750 0.2500
Rh1 Rh 0.0508 0.8008 0.2500
Rh2 Rh 0.1992 0.9492 0.2500
Rh3 Rh 0.8008 0.0508 0.7500
Rh4 Rh 0.9492 0.1992 0.7500

---

# PBE RhN2F, relaxed
# * energy relative to the lowest polymorph listed for this composition: 12.5 kJ per mole of atoms
# * magnetization: 0.0 μB/cell
# * VASP energy: -5.581 eV per atom
# * Fermi-level density of states: 2.59 states/eV per cell
data_RhN2F
_chemical_formula_sum 'Rh2 N4 F2'
_symmetry_space_group_name_H-M 'P 1'
_symmetry_Int_Tables_number 1
_cell_length_a 5.5423
_cell_length_b 5.5423
_cell_length_c 5.5423
_cell_angle_alpha 124.88
_cell_angle_beta 124.88
_cell_angle_gamma 81.73
loop_
_symmetry_equiv_pos_as_xyz
'x,y,z'
loop_
_atom_site_label
_atom_site_type_symbol
_atom_site_fract_x
_atom_site_fract_y
_atom_site_fract_z
Rh1 Rh 0.0000 0.0000 0.0000
Rh2 Rh 0.7500 0.2500 0.5000
N1 N 0.0386 0.6250 0.9136
N2 N 0.3750 0.2886 0.4136
N3 N 0.7114 0.1250 0.0864
N4 N 0.8750 0.9614 0.5864
F1 F 0.2500 0.7500 0.5000
F2 F 0.5000 0.5000 0.0000

---

# PBE SrAl3Ag, relaxed
# * formation energy from the elements: 0.18 eV per atom
# * magnetization: 0.0 μB/cell
# * VASP energy: -2.971 eV per atom
# * Fermi-level density of states: 3.31 states/eV per cell
data_SrAl3Ag
_chemical_formula_sum 'Sr1 Al3 Ag1'
_symmetry_space_group_name_H-M 'P 1'
_symmetry_Int_Tables_number 1
_cell_length_a 5.0158
_cell_length_b 5.0158
_cell_length_c 5.0158
_cell_angle_alpha 90.00
_cell_angle_beta 90.00
_cell_angle_gamma 90.00
loop_
_symmetry_equiv_pos_as_xyz
'x,y,z'
loop_
_atom_site_label
_atom_site_type_symbol
_atom_site_fract_x
_atom_site_fract_y
_atom_site_fract_z
Sr1 Sr 0.0000 0.0000 0.0000
Al1 Al 0.0000 0.5000 0.5000
Al2 Al 0.5000 0.0000 0.5000
Al3 Al 0.5000 0.5000 0.0000
Ag1 Ag 0.5000 0.5000 0.5000

---

no.,V (Å³ per cell)
1,59.0
2,31.4
3,122.1
4,59.5
5,437.8
6,143.6
7,158.0
8,198.9
9,237.2
10,64.5
11,135.4
12,103.6
13,110.2
14,126.2